Cs2Sn2PbSe4 PBE-GGA relaxed; formation energy from raw total energies = -0.752 eV/atom
1.0
9.2748 -2.1484 0.0000
9.2748 2.1484 0.0000
-4.2553 0.0000 8.1449
Cs Sn Pb Se
2 2 1 4
Direct
0.1194 0.1194 0.0430 Cs
0.8806 0.8806 0.9570 Cs
0.3079 0.3079 0.4570 Sn
0.6921 0.6921 0.5430 Sn
0.0000 0.0000 0.5000 Pb
0.1857 0.1857 0.7360 Se
0.4598 0.4598 0.7027 Se
0.5402 0.5402 0.2973 Se
0.8143 0.8143 0.2640 Se

---

CsSnPbSe2 PBE-GGA relaxed; energy above the lowest structure with this stoichiometry = 0 meV/atom; density of states at the Fermi level = 3.6 states/eV/cell; formation energy from raw total energies = -0.166 eV/atom
1.0
5.6959 0.0000 0.0000
0.0000 5.6959 0.0000
0.0000 0.0000 5.6978
Cs Sn Pb Se
1 1 1 2
Direct
0.0000 0.0000 0.0000 Cs
0.5000 0.5000 0.5000 Sn
0.5000 0.5000 0.0000 Pb
0.0000 0.5000 0.5000 Se
0.5000 0.0000 0.5000 Se

---

CsSn2Pb3Se6 PBE-GGA relaxed; density of states at the Fermi level = 7.6 states/eV/cell; formation energy from raw total energies = -0.544 eV/atom
1.0
9.5523 -2.1493 0.0000
9.5523 2.1493 0.0000
-1.4832 0.0000 9.3928
Cs Sn Pb Se
1 2 3 6
Direct
0.0000 0.0000 0.0000 Cs
0.3317 0.3317 0.6685 Sn
0.6683 0.6683 0.3315 Sn
0.0000 0.0000 0.5000 Pb
0.3372 0.3372 0.1953 Pb
0.6628 0.6628 0.8047 Pb
0.1630 0.1630 0.5988 Se
0.1841 0.1841 0.1395 Se
0.4763 0.4763 0.7107 Se
0.5237 0.5237 0.2893 Se
0.8159 0.8159 0.8605 Se
0.8370 0.8370 0.4012 Se

---

CsTaPbSe4 PBE-GGA relaxed; density of states at the Fermi level = 0.0 states/eV/cell; formation energy from raw total energies = -0.860 eV/atom
1.0
7.2507 0.0000 0.0000
0.0000 7.4685 0.0000
-2.8990 0.0000 9.3760
Cs Ta Pb Se
2 2 2 8
Direct
0.2372 0.2500 0.4349 Cs
0.7628 0.7500 0.5651 Cs
0.2874 0.7500 0.1715 Ta
0.7126 0.2500 0.8285 Ta
0.2570 0.2500 0.9429 Pb
0.7430 0.7500 0.0571 Pb
0.0814 0.7500 0.9302 Se
0.0907 0.7500 0.3324 Se
0.4966 0.5044 0.7918 Se
0.4966 0.9956 0.7918 Se
0.5034 0.0044 0.2082 Se
0.5034 0.4956 0.2082 Se
0.9093 0.2500 0.6676 Se
0.9186 0.2500 0.0698 Se

---

Cs2TaPbSe4 PBE-GGA relaxed; density of states at the Fermi level = 7.7 states/eV/cell; formation energy from raw total energies = -0.777 eV/atom
1.0
0.0000 7.0933 12.6366
3.7811 0.0000 12.6366
3.7811 7.0933 0.0000
Cs Ta Pb Se
4 2 2 8
Direct
0.0521 0.0521 0.6979 Cs
0.3021 0.3021 0.9479 Cs
0.6979 0.6979 0.0521 Cs
0.9479 0.9479 0.3021 Cs
0.3750 0.3750 0.3750 Ta
0.6250 0.6250 0.6250 Ta
0.1250 0.1250 0.1250 Pb
0.8750 0.8750 0.8750 Pb
0.0340 0.6098 0.5130 Se
0.3431 0.5130 0.6098 Se
0.3902 0.9660 0.6569 Se
0.4870 0.6569 0.9660 Se
0.5130 0.3431 0.0340 Se
0.6098 0.0340 0.3431 Se
0.6569 0.4870 0.3902 Se
0.9660 0.3902 0.4870 Se

---

Cs3Tb2PbSe6 PBE-GGA relaxed; density of states at the Fermi level = 5.1 states/eV/cell; formation energy from raw total energies = -1.364 eV/atom
1.0
3.7516 -6.5026 0.0000
3.7516 6.5026 0.0000
-2.4955 0.0000 8.3831
Cs Tb Pb Se
3 2 1 6
Direct
0.0000 0.0000 0.0000 Cs
0.3369 0.6631 0.0000 Cs
0.6631 0.3369 0.0000 Cs
0.1673 0.8327 0.5000 Tb
0.8327 0.1673 0.5000 Tb
0.5000 0.5000 0.5000 Pb
0.0923 0.4369 0.3111 Se
0.2178 0.2178 0.6873 Se
0.4369 0.0923 0.3111 Se
0.5631 0.9077 0.6889 Se
0.7822 0.7822 0.3127 Se
0.9077 0.5631 0.6889 Se

---

The calculation returns the following uncorrected energy values, one per record and in order: -3.7920 -3.2725 -3.9520 -5.1965 -4.6778 -4.4008 eV/atom.
The calculation returns the following size of the total moment values, one per record and in order: 0.000 0.000 0.000 0.000 0.137 0.000 μB per atom.